Compound: Pr2P4Ir5
Source: Alexandria
Functional: PBE-GGA
Structure: optimized geometry

Cell lengths 5.4922, 5.6823, 7.6137 Å; angles 79.96, 68.86, 61.10 degrees
With the nearest neighbours (Å) after each atom.
Element x y z (fractional)
P (0.5334, 0.6780, 0.2552)  5 Ir 2.39-2.44
P (0.2114, 0.3220, 0.2552)  5 Ir 2.39-2.44
P (0.4666, 0.3220, 0.7448)  5 Ir 2.39-2.44
P (0.7886, 0.6780, 0.7448)  5 Ir 2.39-2.44
Ir (0.2500, 0.5000, 0.5000)  4 P 2.39
Ir (0.0000, 0.5000, 0.0000)  4 P 2.44
Ir (0.5000, 0.5000, 0.0000)  4 P 2.44
Ir (0.5000, 0.0000, 0.0000)  4 P 2.42
Ir (0.7500, 0.5000, 0.5000)  4 P 2.39
Pr (0.1348, 0.0000, 0.7304)  6 P 3.18-3.37, 10 Ir 3.28-3.43
Pr (0.8652, 0.0000, 0.2696)  6 P 3.18-3.37, 10 Ir 3.28-3.43

Summary:
- calculated formation energy (eV/f.u.) = -8.2

Compound: PrP3Ir5
Source: Alexandria
Functional: PBE-GGA
Structure: optimized geometry

Cell lengths 3.9553, 6.3876, 12.3200 Å; angles 90.00, 90.00, 108.04 degrees
With the nearest neighbours (Å) after each atom.
Element x y z (fractional)
Ir (0.2143, 0.4286, 0.5791)  2 P 2.21-2.39
Ir (0.0000, 0.0000, 0.0000)  4 P 2.44
Ir (0.7857, 0.5714, 0.0791)  2 P 2.21-2.39
Ir (0.4341, 0.8683, 0.3608)  4 P 2.36-2.50
Ir (0.5659, 0.1317, 0.6392)  4 P 2.36-2.50
Ir (0.7857, 0.5714, 0.4209)  2 P 2.21-2.39
Ir (0.0000, 0.0000, 0.5000)  4 P 2.44
Ir (0.5659, 0.1317, 0.8608)  4 P 2.36-2.50
Ir (0.4341, 0.8683, 0.1392)  4 P 2.36-2.50
Ir (0.2143, 0.4286, 0.9209)  2 P 2.21-2.39
P (0.6063, 0.2126, 0.0501)  5 Ir 2.21-2.44
P (0.6063, 0.2126, 0.4499)  5 Ir 2.21-2.44
P (0.1218, 0.2437, 0.7500)  6 Ir 2.39-2.50
P (0.8782, 0.7563, 0.2500)  6 Ir 2.39-2.50
P (0.3937, 0.7874, 0.9499)  5 Ir 2.21-2.44
P (0.3937, 0.7874, 0.5501)  5 Ir 2.21-2.44
Pr (0.1490, 0.2981, 0.2500)  7 P 3.20-3.41, 10 Ir 3.33-3.57
Pr (0.8510, 0.7019, 0.7500)  7 P 3.20-3.41, 10 Ir 3.33-3.57

Summary:
- calculated formation energy (eV/f.u.) = -5.5